Computed, not measured: crystalline Mn2ZnHO at its relaxed geometry at the PBE with a Hubbard U level of DFT.

```
Mn2ZnHO
1.0
-0.852 2.277 -4.514
2.448 -2.326 -1.636
-3.791 -3.316 -0.957
Mn O H Zn
2 1 1 1
Cartesian
-0.426 1.139 -2.257 Mn
-1.895 -1.658 -0.479 Mn
1.224 -1.163 -0.818 O
-1.098 -1.683 -3.553 H
0.000 0.000 0.000 Zn
```

Output
VASP energy ... -20.96 eV for the cell shown
Spin magnetization ... 10.389 μB per formula unit
Symmetry ... P4/mmm, No. 123